Entry from Alexandria via LeMat-Bulk: a relaxed LiNd2Co2O6 crystal (GGA+U).

Output
Final energy, eV per atom: -6.458
Symmetry: R-3m, No. 166
DOS at the Fermi energy, states/eV/atom: 0.383

Cell and atoms, written as POSCAR:
```
LiNd2Co2O6
1.0
2.8676 1.6556 5.3105
-2.8676 1.6556 5.3105
0.0000 -3.3112 5.3105
Li Nd Co O
1 2 2 6
Cartesian
0.0000 0.0000 0.0000
0.0000 0.0000 3.2240
0.0000 0.0000 12.7075
0.0000 0.0000 6.5703
0.0000 0.0000 9.3612
-1.5390 -0.8885 9.1403
0.0000 -1.7771 6.7912
-1.5390 0.8885 6.7912
1.5390 -0.8885 9.1403
0.0000 1.7771 9.1403
1.5390 0.8885 6.7912
```